A geometry-optimized Ta2TcI structure. Source: Alexandria, functional PBE-GGA.

Energy above the lowest structure with this stoichiometry: 0 meV/atom
Volume: 74 Å³/f.u.
M_tot: 0.0 μB/f.u.
Formation energy from raw total energies: 0.8157 eV per atom

POSCAR file:
```
Ta2TcI
1.0
0.0000 3.3263 3.3263
3.3263 0.0000 3.3263
3.3263 3.3263 0.0000
Ta Tc I
2 1 1
Cartesian
1.6632 1.6632 1.6632
4.9895 4.9895 4.9895
0.0000 0.0000 0.0000
3.3263 3.3263 3.3263
```